Crystalline Ta2Cl at its relaxed geometry. Source: the Alexandria database, functional PBE.

As for the formation energy (no corrections): 0.59 eV per atom. The excess energy over the best structure of this formula in the dataset is 0.671 eV/atom. Its density of states at the Fermi level is 2.4 states/eV/f.u. The total magnetization is 0.00 μB per atom. The calculation puts the raw total energy at -95.1 eV for the cell shown.

a b c (Å): 2.9818 2.9818 26.1435
angles (deg): 90.00 90.00 90.00
Space group I4_1/amd (No. 141, origin choice 2)
Unique sites:
Ta (0.0000, 0.2500, 0.2920)
Cl (0.0000, 0.2500, 0.8750)

***

Crystalline Ta3Cl4 at its relaxed geometry. Source: the Alexandria database, functional PBE.

As for the formation energy (no corrections): 0.58 eV per atom. Its density of states at the Fermi level is 6.6 states/eV/f.u. The total magnetization is 0.00 μB per atom. The calculation puts the raw total energy at -38.9 eV for the cell shown.

a b c (Å): 5.4620 5.4620 5.5074
angles (deg): 90.00 90.00 120.00
Space group P6/mmm (No. 191)
Unique sites:
Ta (0.0000, 0.5000, 0.0000)
Cl (0.0000, 0.0000, 0.2438)
Cl (0.3333, 0.6667, 0.5000)

***

Crystalline TaCl4 at its relaxed geometry. Source: the Alexandria database, functional PBE.

As for the formation energy (no corrections): -0.63 eV per atom. Its density of states at the Fermi level is 6.2 states/eV/f.u. The total magnetization is 0.02 μB per atom. The calculation puts the raw total energy at -22.4 eV for the cell shown.

a b c (Å): 4.8078 4.8078 4.8078
angles (deg): 90.00 90.00 90.00
Space group Pm-3m (No. 221)
Unique sites:
Ta (0.0000, 0.0000, 0.0000)
Cl (0.0000, 0.0000, 0.5000)
Cl (0.5000, 0.5000, 0.5000)

***

Crystalline Ta3Cl5 at its relaxed geometry. Source: the Alexandria database, functional PBE.

As for the formation energy (no corrections): 0.34 eV per atom. Its density of states at the Fermi level is 6.9 states/eV/f.u. The total magnetization is 0.44 μB per atom. The calculation puts the raw total energy at -84.1 eV for the cell shown.

a b c (Å): 7.8196 7.8196 5.6661
angles (deg): 90.00 90.00 120.00
Space group P6_3/mcm (No. 193)
Unique sites:
Ta (0.0000, 0.4269, 0.2500)
Cl (0.0000, 0.2505, 0.7500)
Cl (0.3333, 0.6667, 0.0000)

***

Crystalline Ta2Cl at its relaxed geometry. Source: the Alexandria database, functional PBE.

As for the formation energy (no corrections): 0.10 eV per atom. The excess energy over the best structure of this formula in the dataset is 0.187 eV/atom. Its density of states at the Fermi level is 2.7 states/eV/f.u. The total magnetization is 0.00 μB per atom. The calculation puts the raw total energy at -100.9 eV for the cell shown.

a b c (Å): 2.8892 15.3594 4.7570
angles (deg): 90.00 90.00 90.00
Space group Cmcm (No. 63)
Unique sites:
Ta (0.0000, 0.0494, 0.2500)
Ta (0.0000, 0.3700, 0.2500)
Cl (0.0000, 0.2807, 0.7500)

***

Crystalline Ta7Cl6 at its relaxed geometry. Source: the Alexandria database, functional PBE.

As for the formation energy (no corrections): 0.30 eV per atom. Its density of states at the Fermi level is 12.7 states/eV/f.u. The total magnetization is 0.00 μB per atom. The calculation puts the raw total energy at -270.3 eV for the cell shown.

a b c (Å): 5.6779 5.6779 32.9427
angles (deg): 90.00 90.00 120.00
Space group R-3m (No. 166, hexagonal axes)
Unique sites:
Ta (0.0000, 0.0000, 0.0000)
Ta (0.0151, 0.5076, 0.5943)
Cl (0.0000, 0.0000, 0.1334)
Cl (0.0000, 0.0000, 0.3175)
Cl (0.0000, 0.0000, 0.4192)

***

Crystalline Ta4Cl5 at its relaxed geometry. Source: the Alexandria database, functional PBE.

As for the formation energy (no corrections): -0.28 eV per atom. The excess energy over the best structure of this formula in the dataset is 0.000 eV/atom. Its density of states at the Fermi level is 3.9 states/eV/f.u. The total magnetization is 0.00 μB per atom. The calculation puts the raw total energy at -118.3 eV for the cell shown.

a b c (Å): 8.2466 8.2466 5.1248
angles (deg): 90.00 90.00 90.00
Space group I4/mmm (No. 139)
Unique sites:
Ta (0.0000, 0.3500, 0.0000)
Cl (0.0000, 0.0000, 0.0000)
Cl (0.1924, 0.1924, 0.5000)

***

Crystalline Ta2Cl at its relaxed geometry. Source: the Alexandria database, functional PBE.

As for the formation energy (no corrections): 0.72 eV per atom. The excess energy over the best structure of this formula in the dataset is 0.806 eV/atom. Its density of states at the Fermi level is 4.0 states/eV/f.u. The total magnetization is 0.00 μB per atom. The calculation puts the raw total energy at -93.5 eV for the cell shown.

a b c (Å): 6.2350 6.2350 9.2050
angles (deg): 90.00 90.00 120.00
Space group P6_3/mmc (No. 194)
Unique sites:
Ta (0.0000, 0.0000, 0.0000)
Ta (0.1432, 0.2864, 0.2500)
Cl (0.3333, 0.6667, 0.0716)

***

Crystalline TaCl4 at its relaxed geometry. Source: the Alexandria database, functional PBE.

As for the formation energy (no corrections): 0.17 eV per atom. Its density of states at the Fermi level is 2.8 states/eV/f.u. The total magnetization is 0.01 μB per atom. The calculation puts the raw total energy at -36.8 eV for the cell shown.

a b c (Å): 3.3698 3.3698 21.0667
angles (deg): 90.00 90.00 90.00
Space group I4/mmm (No. 139)
Unique sites:
Ta (0.0000, 0.0000, 0.0000)
Cl (0.0000, 0.0000, 0.4302)
Cl (0.0000, 0.5000, 0.2500)

***

Crystalline Ta2Cl at its relaxed geometry. Source: the Alexandria database, functional PBE.

As for the formation energy (no corrections): 0.62 eV per atom. The excess energy over the best structure of this formula in the dataset is 0.698 eV/atom. Its density of states at the Fermi level is 2.5 states/eV/f.u. The total magnetization is 0.00 μB per atom. The calculation puts the raw total energy at -47.4 eV for the cell shown.

a b c (Å): 2.8952 4.4214 8.5414
angles (deg): 90.00 90.00 90.00
Space group Immm (No. 71)
Unique sites:
Ta (0.0000, 0.0000, 0.1722)
Cl (0.0000, 0.0000, 0.5000)

***

Crystalline Ta2Cl at its relaxed geometry. Source: the Alexandria database, functional PBE.

As for the formation energy (no corrections): 0.16 eV per atom. The excess energy over the best structure of this formula in the dataset is 0.238 eV/atom. Its density of states at the Fermi level is 3.8 states/eV/f.u. The total magnetization is 0.00 μB per atom. The calculation puts the raw total energy at -25.1 eV for the cell shown.

a b c (Å): 2.9693 2.9693 6.8957
angles (deg): 90.00 90.00 120.00
Space group P-3m1 (No. 164)
Unique sites:
Ta (0.3333, 0.6667, 0.3170)
Cl (0.0000, 0.0000, 0.0000)

***

Crystalline Ta4Cl at its relaxed geometry. Source: the Alexandria database, functional PBE.

As for the formation energy (no corrections): 0.86 eV per atom. The excess energy over the best structure of this formula in the dataset is 0.561 eV/atom. Its density of states at the Fermi level is 5.7 states/eV/f.u. The total magnetization is 0.00 μB per atom. The calculation puts the raw total energy at -44.9 eV for the cell shown.

a b c (Å): 4.5299 4.5299 4.5299
angles (deg): 90.00 90.00 90.00
Space group Pm-3m (No. 221)
Unique sites:
Ta (0.0000, 0.0000, 0.0000)
Ta (0.0000, 0.5000, 0.5000)
Cl (0.5000, 0.5000, 0.5000)

***

Crystalline Ta2Cl at its relaxed geometry. Source: the Alexandria database, functional PBE.

As for the formation energy (no corrections): 0.35 eV per atom. The excess energy over the best structure of this formula in the dataset is 0.432 eV/atom. Its density of states at the Fermi level is 2.8 states/eV/f.u. The total magnetization is 0.00 μB per atom. The calculation puts the raw total energy at -49.0 eV for the cell shown.

a b c (Å): 2.9226 2.9226 12.5698
angles (deg): 90.00 90.00 90.00
Space group I4/mmm (No. 139)
Unique sites:
Ta (0.0000, 0.0000, 0.1664)
Cl (0.0000, 0.0000, 0.5000)

***

Crystalline Ta5Cl at its relaxed geometry. Source: the Alexandria database, functional PBE.

As for the formation energy (no corrections): 0.49 eV per atom. The excess energy over the best structure of this formula in the dataset is 0.234 eV/atom. Its density of states at the Fermi level is 6.4 states/eV/f.u. The total magnetization is 0.00 μB per atom. The calculation puts the raw total energy at -58.1 eV for the cell shown.

a b c (Å): 5.0993 5.0993 4.9524
angles (deg): 90.00 90.00 120.00
Space group P-62m (No. 189)
Unique sites:
Ta (0.0000, 0.6519, 0.0000)
Ta (0.3333, 0.6667, 0.5000)
Cl (0.0000, 0.0000, 0.5000)

***

Crystalline Ta5Cl at its relaxed geometry. Source: the Alexandria database, functional PBE.

As for the formation energy (no corrections): 0.80 eV per atom. The excess energy over the best structure of this formula in the dataset is 0.542 eV/atom. Its density of states at the Fermi level is 9.6 states/eV/f.u. The total magnetization is 0.00 μB per atom. The calculation puts the raw total energy at -225.2 eV for the cell shown.

a b c (Å): 7.7968 7.7968 7.7968
angles (deg): 90.00 90.00 90.00
Space group F-43m (No. 216)
Unique sites:
Ta (0.0000, 0.0000, 0.0000)
Ta (0.1272, 0.1272, 0.6272)
Cl (0.2500, 0.2500, 0.2500)

***

Crystalline TaCl8 at its relaxed geometry. Source: the Alexandria database, functional PBE.

As for the formation energy (no corrections): -0.24 eV per atom. Its density of states at the Fermi level is 6.6 states/eV/f.u. The total magnetization is 0.34 μB per atom. The calculation puts the raw total energy at -57.5 eV for the cell shown.

a b c (Å): 9.9618 9.9618 6.2997
angles (deg): 90.00 90.00 90.00
Space group I4/mmm (No. 139)
Unique sites:
Ta (0.0000, 0.0000, 0.0000)
Cl (0.0000, 0.2302, 0.0000)
Cl (0.1372, 0.1372, 0.5000)

***

Crystalline Ta5Cl at its relaxed geometry. Source: the Alexandria database, functional PBE.

As for the formation energy (no corrections): 0.26 eV per atom. The excess energy over the best structure of this formula in the dataset is 0.000 eV/atom. Its density of states at the Fermi level is 6.7 states/eV/f.u. The total magnetization is 0.00 μB per atom. The calculation puts the raw total energy at -59.5 eV for the cell shown.

a b c (Å): 2.8579 2.8579 13.3297
angles (deg): 90.00 90.00 90.00
Space group P4/mmm (No. 123)
Unique sites:
Ta (0.0000, 0.0000, 0.0000)
Ta (0.0000, 0.0000, 0.3456)
Ta (0.5000, 0.5000, 0.1772)
Cl (0.5000, 0.5000, 0.5000)

***

Crystalline TaCl4 at its relaxed geometry. Source: the Alexandria database, functional PBE.

As for the formation energy (no corrections): -1.30 eV per atom. Its density of states at the Fermi level is 0.0 states/eV/f.u. The total magnetization is 0.00 μB per atom. The calculation puts the raw total energy at -103.0 eV for the cell shown.

a b c (Å): 6.8332 8.8195 10.1153
angles (deg): 90.00 90.00 90.00
Space group Immm (No. 71)
Unique sites:
Ta (0.2194, 0.0000, 0.0000)
Cl (0.0000, 0.0000, 0.1904)
Cl (0.0000, 0.5000, 0.3350)
Cl (0.2443, 0.2617, 0.0000)

***

Crystalline Ta2Cl at its relaxed geometry. Source: the Alexandria database, functional PBE.

As for the formation energy (no corrections): 0.83 eV per atom. The excess energy over the best structure of this formula in the dataset is 0.913 eV/atom. Its density of states at the Fermi level is 2.7 states/eV/f.u. The total magnetization is 0.00 μB per atom. The calculation puts the raw total energy at -46.1 eV for the cell shown.

a b c (Å): 4.8028 5.9166 3.7663
angles (deg): 90.00 90.00 90.00
Space group Pnnm (No. 58)
Unique sites:
Ta (0.2302, 0.1413, 0.0000)
Cl (0.0000, 0.5000, 0.0000)

***

Crystalline Ta2Cl at its relaxed geometry. Source: the Alexandria database, functional PBE.

As for the formation energy (no corrections): 0.57 eV per atom. The excess energy over the best structure of this formula in the dataset is 0.650 eV/atom. Its density of states at the Fermi level is 2.6 states/eV/f.u. The total magnetization is 0.00 μB per atom. The calculation puts the raw total energy at -95.4 eV for the cell shown.

a b c (Å): 2.9074 15.5299 4.8994
angles (deg): 90.00 90.00 90.00
Space group Cmcm (No. 63)
Unique sites:
Ta (0.0000, 0.0397, 0.2500)
Ta (0.0000, 0.2877, 0.7500)
Cl (0.0000, 0.3520, 0.2500)